TcAgCl2 | PBE | optimized geometry

Results
formation energy from raw total energies: -0.0224 eV/atom
E above lowest polymorph: 0.0 kJ per mole of atoms

Cell lengths 7.1590, 7.1590, 7.1590 Å; angles 156.02, 139.33, 47.77 degrees
Closest atoms and distances in Å follow each position.
Element x y z (fractional)
Tc (0.7500, 0.2500, 0.5000)  4 Cl 2.41
Ag (0.2500, 0.7500, 0.5000)  4 Tc 2.90, 2 Ag 2.97, 4 Cl 3.13
Cl (0.8945, 0.8945, 0.0000)  2 Tc 2.41
Cl (0.6055, 0.6055, 0.0000)  2 Tc 2.41